# 1
A relaxed structure of Tb2In8Ni. Source: Alexandria via LeMat-Bulk, functional PBE-GGA.

Computed properties:
Space group ... P4/mmm (123)
Crystal system ... tetragonal
Energy of formation ... -0.341 eV/atom

a = 4.638 Å, b = 4.638 Å, c = 12.134 Å
α = 90.00°, β = 90.00°, γ = 90.00°
Element x y z (fractional)
Tb: 0.000 0.000 0.308
Tb: 0.000 0.000 0.692
In: 0.000 0.500 0.500
In: 0.500 0.000 0.500
In: 0.500 0.500 0.307
In: 0.500 0.500 0.693
In: 0.000 0.500 0.121
In: 0.500 0.000 0.121
In: 0.000 0.500 0.879
In: 0.500 0.000 0.879
Ni: 0.000 0.000 0.000

# 2
A relaxed structure of K3InAg2F9. Source: Alexandria via LeMat-Bulk, functional PBE-GGA.

Computed properties:
ΔE_f (raw) ... -2.1813 eV/atom
Space group ... P-3m1 (164)
Crystal system ... trigonal

a = 6.301 Å, b = 6.301 Å, c = 7.776 Å
α = 90.00°, β = 90.00°, γ = 120.00°
Site moments in Bohr magnetons follow the coordinates.
Element x y z (fractional)
K: 0.333 0.667 0.718  0.00
K: 0.000 0.000 0.000  0.00
K: 0.667 0.333 0.282  0.00
In: 0.000 0.000 0.500  0.01
Ag: 0.333 0.667 0.173  0.32
Ag: 0.667 0.333 0.827  0.32
F: 0.845 0.155 0.660  0.02
F: 0.845 0.690 0.660  0.02
F: 0.310 0.155 0.660  0.02
F: 0.690 0.845 0.340  0.02
F: 0.155 0.310 0.340  0.02
F: 0.155 0.845 0.340  0.02
F: 0.500 0.000 0.000  0.09
F: 0.000 0.500 0.000  0.09
F: 0.500 0.500 0.000  0.09

# 3
A relaxed structure of CaPr6Y8. Source: Alexandria via LeMat-Bulk, functional PBE-GGA.

Computed properties:
Space group ... P-3 (147)
Crystal system ... trigonal
Energy of formation ... 0.222 eV/atom

a = 6.259 Å, b = 10.033 Å, c = 10.033 Å
α = 120.00°, β = 90.00°, γ = 90.00°
Element x y z (fractional)
Ca: 0.500 0.000 0.000
Pr: 0.559 0.689 0.133
Pr: 0.559 0.867 0.556
Pr: 0.559 0.444 0.311
Pr: 0.441 0.311 0.867
Pr: 0.441 0.133 0.444
Pr: 0.441 0.556 0.689
Y: 0.933 0.979 0.317
Y: 0.933 0.683 0.662
Y: 0.933 0.338 0.021
Y: 0.067 0.021 0.683
Y: 0.067 0.317 0.338
Y: 0.067 0.662 0.979
Y: 0.921 0.333 0.667
Y: 0.079 0.667 0.333

# 4
A relaxed structure of ScRu3Pb. Source: Alexandria via LeMat-Bulk, functional PBE-GGA.

Computed properties:
Space group ... Pm-3m (221)
Crystal system ... cubic
Energy of formation ... 1.290 eV/atom

a = 4.675 Å, b = 4.675 Å, c = 4.675 Å
α = 90.00°, β = 90.00°, γ = 90.00°
Site moments in Bohr magnetons follow the coordinates.
Element x y z (fractional)
Pb: 0.500 0.500 0.500  0.00
Ru: 0.000 0.500 0.000  0.42
Ru: 0.000 0.000 0.500  0.56
Ru: 0.500 0.000 0.000  0.37
Sc: 0.000 0.000 0.000  -0.06

# 5
A relaxed structure of LuThMgCr. Source: Alexandria via LeMat-Bulk, functional PBE-GGA.

Computed properties:
Space group ... F-43m (216)
Crystal system ... cubic
Energy of formation ... 0.208 eV/atom

a = 5.186 Å, b = 5.186 Å, c = 5.186 Å
α = 60.00°, β = 60.00°, γ = 60.00°
Site moments in Bohr magnetons follow the coordinates.
Element x y z (fractional)
Cr: 0.750 0.750 0.750  3.16
Mg: 0.250 0.250 0.250  -0.02
Lu: 0.000 0.000 0.000  -0.20
Th: 0.500 0.500 0.500  -0.12

# 6
A relaxed structure of NaGa2W. Source: Alexandria via LeMat-Bulk, functional PBE-GGA.

Computed properties:
Space group ... I-42d (122)
Crystal system ... tetragonal
Energy of formation ... 0.889 eV/atom

a = 4.448 Å, b = 4.448 Å, c = 9.397 Å
α = 76.31°, β = 76.31°, γ = 90.00°
Site moments in Bohr magnetons follow the coordinates.
Element x y z (fractional)
Na: 0.500 0.500 0.000  0.00
Na: 0.250 0.750 0.500  0.00
Ga: 0.711 0.125 0.250  -0.02
Ga: 0.039 0.625 0.250  -0.02
Ga: 0.375 0.289 0.750  -0.03
Ga: 0.875 0.961 0.750  -0.03
W: 0.000 0.000 0.000  0.73
W: 0.750 0.250 0.500  0.72

# 7
A relaxed structure of CdNi3N. Source: Alexandria via LeMat-Bulk, functional PBE-GGA.

Computed properties:
ΔE_f (raw) ... 0.0801 eV/atom
Space group ... P2_1 (4)
Crystal system ... monoclinic

a = 5.224 Å, b = 4.371 Å, c = 5.340 Å
α = 90.02°, β = 84.79°, γ = 89.99°
Element x y z (fractional)
Ni: 0.976 0.009 0.458
Ni: 0.800 0.494 0.237
Ni: 0.285 0.509 0.426
Ni: 0.244 0.518 0.936
Ni: 0.461 0.994 0.647
Ni: 0.016 0.018 0.949
Cd: 0.525 0.983 0.148
Cd: 0.735 0.483 0.737
N: 0.099 0.286 0.206
N: 0.161 0.785 0.679

# 8
A relaxed structure of CsZrHg2. Source: Alexandria via LeMat-Bulk, functional PBE-GGA.

Computed properties:
Space group ... Fm-3m (225)
Crystal system ... cubic
Energy of formation ... 0.555 eV/atom

a = 5.593 Å, b = 5.593 Å, c = 5.593 Å
α = 60.00°, β = 60.00°, γ = 60.00°
Element x y z (fractional)
Cs: 0.500 0.500 0.500
Hg: 0.250 0.250 0.250
Hg: 0.750 0.750 0.750
Zr: 0.000 0.000 0.000

# 9
A relaxed structure of HoHfAl. Source: Alexandria via LeMat-Bulk, functional PBE-GGA.

Computed properties:
Space group ... P-62m (189)
Crystal system ... hexagonal
Energy of formation ... -0.163 eV/atom

a = 4.347 Å, b = 7.543 Å, c = 7.543 Å
α = 120.00°, β = 90.00°, γ = 90.00°
Site moments in Bohr magnetons follow the coordinates.
Element x y z (fractional)
Al: 0.500 0.667 0.333  0.00
Al: 0.500 0.333 0.667  0.00
Al: 0.000 0.000 0.000  0.00
Ho: 0.000 0.587 0.587  0.06
Ho: 0.000 0.000 0.413  0.06
Ho: 0.000 0.413 0.000  0.06
Hf: 0.500 0.000 0.760  0.09
Hf: 0.500 0.760 0.000  0.09
Hf: 0.500 0.240 0.240  0.09

# 10
A relaxed structure of LaReW2. Source: Alexandria via LeMat-Bulk, functional PBE-GGA.

Computed properties:
Space group ... Pmmm (47)
Crystal system ... orthorhombic
Energy of formation ... 0.799 eV/atom

a = 3.245 Å, b = 4.869 Å, c = 4.707 Å
α = 90.00°, β = 90.00°, γ = 90.00°
Element x y z (fractional)
La: 0.500 0.000 0.500
Re: 0.000 0.500 0.500
W: 0.000 0.000 0.000
W: 0.500 0.500 0.000

# 11
A relaxed structure of PmErCd6. Source: Alexandria via LeMat-Bulk, functional PBE-GGA.

Computed properties:
Space group ... Amm2 (38)
Crystal system ... orthorhombic
Energy of formation ... -0.282 eV/atom

a = 4.902 Å, b = 6.560 Å, c = 6.560 Å
α = 113.54°, β = 90.00°, γ = 90.00°
Element x y z (fractional)
Pm: 0.500 0.386 0.614
Er: 0.000 0.113 0.887
Cd: 0.000 0.057 0.371
Cd: 0.000 0.629 0.943
Cd: 0.000 0.579 0.421
Cd: 0.500 0.437 0.127
Cd: 0.500 0.873 0.563
Cd: 0.500 0.926 0.074

# 12
A relaxed structure of Ba2PtRh. Source: Alexandria via LeMat-Bulk, functional PBE-GGA.

Computed properties:
Space group ... Cmmm (65)
Crystal system ... orthorhombic
Energy of formation ... -0.218 eV/atom

a = 5.431 Å, b = 5.431 Å, c = 3.825 Å
α = 90.00°, β = 90.00°, γ = 94.98°
Element x y z (fractional)
Ba: 0.500 0.000 0.000
Ba: 0.000 0.500 0.000
Pt: 0.000 0.000 0.500
Rh: 0.500 0.500 0.500

| no. | Fermi-level density of states (states/eV/atom) |
| --- | --- |
| 1 | 0.56 |
| 2 | 0.24 |
| 3 | 1.53 |
| 4 | 1.59 |
| 5 | 0.98 |
| 6 | 0.52 |
| 7 | 0.61 |
| 8 | 1.16 |
| 9 | 1.64 |
| 10 | 0.81 |
| 11 | 0.45 |
| 12 | 0.77 |